[1]
HoCuPd | PBE | relaxed

As for the total magnetic moment: 0.00 μB per formula unit. The energy relative to the lowest polymorph listed for this composition is 0.23 eV/f.u. Its formation energy is -0.5377 eV/atom.

Cell lengths 5.071, 5.071, 5.071 Å; angles 139.08, 139.08, 59.26 degrees
Fractional positions:
Ho: 0.000 0.000 0.000
Cu: 0.675 0.675 0.000
Pd: 0.330 0.330 0.000

***

[2]
PmHo2Pd | PBE | relaxed

As for the total magnetic moment: 0.00 μB per formula unit. The energy relative to the lowest polymorph listed for this composition is 0.00 eV/f.u. Its formation energy is -0.4629 eV/atom.

Cell lengths 7.087, 9.691, 6.518 Å; angles 90.00, 90.00, 90.00 degrees
Fractional positions:
Pm: 0.018 0.250 0.134
Pm: 0.482 0.750 0.634
Pm: 0.518 0.250 0.366
Pm: 0.982 0.750 0.866
Ho: 0.179 0.060 0.672
Ho: 0.179 0.440 0.672
Ho: 0.321 0.560 0.172
Ho: 0.321 0.940 0.172
Ho: 0.679 0.060 0.828
Ho: 0.679 0.440 0.828
Ho: 0.821 0.560 0.328
Ho: 0.821 0.940 0.328
Pd: 0.112 0.750 0.427
Pd: 0.388 0.250 0.927
Pd: 0.612 0.750 0.073
Pd: 0.888 0.250 0.573

***

[3]
Co2MoAu | PBE | relaxed

As for the total magnetic moment: 2.10 μB per formula unit. Its formation energy is 0.2562 eV/atom.

Cell lengths 4.485, 4.485, 4.902 Å; angles 99.33, 99.33, 35.36 degrees
Fractional positions:
Co: 0.246 0.246 0.213
Co: 0.754 0.754 0.787
Mo: 0.500 0.500 0.000
Au: 0.000 0.000 0.500

***

[4]
Pa2Ga2Si4Os | PBE | relaxed

As for the total magnetic moment: 0.00 μB per formula unit. The value obtained for the uncorrected formation energy is -354 kJ/mol of formula units.

Cell lengths 6.034, 6.034, 6.034 Å; angles 119.44, 119.44, 90.97 degrees
Fractional positions:
Pa: 0.250 0.750 0.500
Pa: 0.750 0.250 0.500
Ga: 0.208 0.208 0.000
Ga: 0.792 0.792 0.000
Si: 0.220 0.220 0.441
Si: 0.220 0.780 0.000
Si: 0.780 0.220 0.000
Si: 0.780 0.780 0.559
Os: 0.500 0.500 0.000

***

[5]
LaGdTm | PBE | relaxed

As for the total magnetic moment: 7.35 μB per formula unit. The energy relative to the lowest polymorph listed for this composition is 0.14 eV/f.u. Its formation energy is 0.0781 eV/atom.

Cell lengths 5.715, 5.715, 3.491 Å; angles 90.00, 90.00, 120.00 degrees
Fractional positions:
La: 0.000 0.000 0.000
Gd: 0.667 0.333 0.500
Tm: 0.333 0.667 0.000

***

[6]
SiNi4Br | PBE | relaxed

As for the total magnetic moment: 1.89 μB per formula unit. The value obtained for the uncorrected formation energy is 301 kJ/mol of formula units.

Cell lengths 4.858, 4.858, 4.858 Å; angles 60.00, 60.00, 60.00 degrees
Fractional positions:
Si: 0.000 0.000 0.000
Ni: 0.121 0.626 0.626
Ni: 0.626 0.121 0.626
Ni: 0.626 0.626 0.121
Ni: 0.626 0.626 0.626
Br: 0.250 0.250 0.250

***

[7]
La5Pm4Nd2 | PBE | relaxed

As for the total magnetic moment: 0.00 μB per formula unit. The energy relative to the lowest polymorph listed for this composition is 0.31 eV/f.u. Its formation energy is 0.1184 eV/atom.

Cell lengths 12.450, 12.450, 9.073 Å; angles 96.60, 96.60, 16.38 degrees
Fractional positions:
La: 0.000 0.000 0.000
La: 0.269 0.269 0.176
La: 0.360 0.360 0.887
La: 0.640 0.640 0.113
La: 0.731 0.731 0.824
Pm: 0.178 0.178 0.472
Pm: 0.454 0.454 0.637
Pm: 0.546 0.546 0.363
Pm: 0.822 0.822 0.528
Nd: 0.408 0.408 0.272
Nd: 0.592 0.592 0.728

***

[8]
LiCaCl | PBE | relaxed

As for the total magnetic moment: 0.00 μB per formula unit. The energy relative to the lowest polymorph listed for this composition is 0.00 eV/f.u. The value obtained for the uncorrected formation energy is -314 kJ/mol of formula units.

Cell lengths 6.936, 6.936, 5.661 Å; angles 90.00, 90.00, 147.72 degrees
Fractional positions:
Li: 0.067 0.933 0.750
Li: 0.933 0.067 0.250
Ca: 0.372 0.628 0.750
Ca: 0.628 0.372 0.250
Cl: 0.297 0.703 0.250
Cl: 0.703 0.297 0.750

***

[9]
Er2Ni15Ru2 | PBE | relaxed

As for the total magnetic moment: 7.42 μB per formula unit. Its formation energy is -0.1710 eV/atom.

Cell lengths 6.298, 6.298, 6.298 Å; angles 82.39, 82.39, 82.39 degrees
Fractional positions:
Er: 0.156 0.156 0.156
Er: 0.844 0.844 0.844
Ni: 0.000 0.500 0.500
Ni: 0.156 0.156 0.658
Ni: 0.156 0.658 0.156
Ni: 0.198 0.500 0.802
Ni: 0.198 0.802 0.500
Ni: 0.342 0.844 0.844
Ni: 0.500 0.000 0.500
Ni: 0.500 0.198 0.802
Ni: 0.500 0.500 0.000
Ni: 0.500 0.802 0.198
Ni: 0.658 0.156 0.156
Ni: 0.802 0.198 0.500
Ni: 0.802 0.500 0.198
Ni: 0.844 0.342 0.844
Ni: 0.844 0.844 0.342
Ru: 0.403 0.403 0.403
Ru: 0.597 0.597 0.597

***

[10]
Cd6In2Ga | PBE | relaxed

As for the total magnetic moment: 0.00 μB per formula unit. The energy relative to the lowest polymorph listed for this composition is 0.37 eV/f.u. Its formation energy is 0.0783 eV/atom.

Cell lengths 6.629, 6.629, 5.934 Å; angles 90.12, 90.12, 59.76 degrees
Fractional positions:
Cd: 0.138 0.681 0.688
Cd: 0.319 0.319 0.310
Cd: 0.319 0.862 0.312
Cd: 0.681 0.138 0.688
Cd: 0.681 0.681 0.690
Cd: 0.862 0.319 0.312
In: 0.166 0.166 0.833
In: 0.834 0.834 0.167
Ga: 0.500 0.500 0.000

***

[11]
Ho2ThSc | PBE | relaxed

As for the total magnetic moment: 0.00 μB per formula unit. The energy relative to the lowest polymorph listed for this composition is 0.10 eV/f.u. Its formation energy is 0.0523 eV/atom.

Cell lengths 3.478, 3.478, 9.858 Å; angles 90.00, 90.00, 90.00 degrees
Fractional positions:
Ho: 0.000 0.000 0.243
Ho: 0.000 0.000 0.757
Th: 0.500 0.500 0.500
Sc: 0.500 0.500 0.000

***

[12]
Dy3TmIn | PBE | relaxed

As for the total magnetic moment: 0.00 μB per formula unit. The energy relative to the lowest polymorph listed for this composition is 2.40 eV/f.u. Its formation energy is 0.2935 eV/atom.

Cell lengths 6.783, 6.783, 8.776 Å; angles 90.00, 90.00, 128.78 degrees
Fractional positions:
Dy: 0.063 0.937 0.750
Dy: 0.175 0.825 0.068
Dy: 0.175 0.825 0.432
Dy: 0.825 0.175 0.568
Dy: 0.825 0.175 0.932
Dy: 0.937 0.063 0.250
Tm: 0.426 0.574 0.250
Tm: 0.574 0.426 0.750
In: 0.322 0.678 0.750
In: 0.678 0.322 0.250

***

[13]
Cd2Ga2Ag7 | PBE | relaxed

As for the total magnetic moment: 0.00 μB per formula unit. The energy relative to the lowest polymorph listed for this composition is 0.00 eV/f.u. Its formation energy is -0.0003 eV/atom.

Cell lengths 7.761, 7.761, 7.761 Å; angles 147.76, 66.47, 123.60 degrees
Fractional positions:
Cd: 0.000 0.000 0.000
Cd: 0.693 0.193 0.500
Ga: 0.010 0.205 0.805
Ga: 0.400 0.205 0.195
Ag: 0.141 0.484 0.658
Ag: 0.258 0.916 0.342
Ag: 0.400 0.400 0.000
Ag: 0.542 0.697 0.845
Ag: 0.573 0.916 0.658
Ag: 0.826 0.484 0.342
Ag: 0.852 0.697 0.155

***

[14]
CsPrSb | PBE | relaxed

As for the total magnetic moment: 0.22 μB per formula unit. The value obtained for the uncorrected formation energy is -168 kJ/mol of formula units.

Cell lengths 14.638, 14.638, 14.638 Å; angles 20.75, 20.75, 20.75 degrees
Fractional positions:
Cs: 0.109 0.109 0.109
Cs: 0.891 0.891 0.891
Pr: 0.305 0.305 0.305
Pr: 0.695 0.695 0.695
Sb: 0.382 0.382 0.382
Sb: 0.618 0.618 0.618

***

[15]
PaNi3P3 | PBE | relaxed

As for the total magnetic moment: 0.44 μB per formula unit. Its formation energy is -0.2656 eV/atom.

Cell lengths 8.234, 8.234, 3.884 Å; angles 90.00, 90.00, 120.00 degrees
Fractional positions:
Pa: 0.333 0.667 0.250
Pa: 0.667 0.333 0.750
Ni: 0.050 0.853 0.750
Ni: 0.147 0.197 0.750
Ni: 0.197 0.050 0.250
Ni: 0.803 0.950 0.750
Ni: 0.853 0.803 0.250
Ni: 0.950 0.147 0.250
P: 0.046 0.594 0.750
P: 0.406 0.452 0.750
P: 0.452 0.046 0.250
P: 0.548 0.954 0.750
P: 0.594 0.548 0.250
P: 0.954 0.406 0.250

***

[16]
TcSe2NO | PBE | relaxed

As for the total magnetic moment: 0.00 μB per formula unit. The energy relative to the lowest polymorph listed for this composition is 0.00 eV/f.u. The value obtained for the uncorrected formation energy is 392 kJ/mol of formula units.

Cell lengths 4.891, 4.891, 3.689 Å; angles 90.00, 90.00, 90.00 degrees
Fractional positions:
Tc: 0.000 0.000 0.000
Se: 0.000 0.500 0.000
Se: 0.500 0.000 0.000
N: 0.000 0.000 0.500
O: 0.500 0.500 0.500

***

[17]
MnSeBr3 | PBE | relaxed

As for the total magnetic moment: 5.88 μB per formula unit. The value obtained for the uncorrected formation energy is 167 kJ/mol of formula units.

Cell lengths 5.430, 5.430, 5.430 Å; angles 90.00, 90.00, 90.00 degrees
Fractional positions:
Mn: 0.000 0.000 0.000
Se: 0.500 0.500 0.500
Br: 0.000 0.500 0.500
Br: 0.500 0.000 0.500
Br: 0.500 0.500 0.000

***

[18]
AcLa2NdTm5 | PBE | relaxed

As for the total magnetic moment: 0.00 μB per formula unit. Its formation energy is 0.2430 eV/atom.

Cell lengths 10.065, 10.065, 10.065 Å; angles 128.36, 128.36, 76.04 degrees
Fractional positions:
Ac: 0.250 0.250 0.000
Ac: 0.750 0.750 0.000
La: 0.117 0.617 0.734
La: 0.383 0.117 0.500
La: 0.617 0.883 0.500
La: 0.883 0.383 0.266
Nd: 0.250 0.750 0.500
Nd: 0.750 0.250 0.500
Tm: 0.000 0.000 0.000
Tm: 0.075 0.154 0.500
Tm: 0.154 0.654 0.078
Tm: 0.346 0.425 0.500
Tm: 0.425 0.925 0.078
Tm: 0.500 0.500 0.000
Tm: 0.575 0.075 0.922
Tm: 0.654 0.575 0.500
Tm: 0.846 0.346 0.922
Tm: 0.925 0.846 0.500

***

[19]
Pa4TcI5 | PBE | relaxed

As for the total magnetic moment: 2.82 μB per formula unit. The value obtained for the uncorrected formation energy is -498 kJ/mol of formula units.

Cell lengths 9.427, 9.427, 9.132 Å; angles 99.38, 99.38, 23.93 degrees
Fractional positions:
Pa: 0.001 0.001 0.304
Pa: 0.337 0.337 0.450
Pa: 0.663 0.663 0.550
Pa: 0.999 0.999 0.696
Tc: 0.500 0.500 0.500
I: 0.167 0.167 0.828
I: 0.169 0.169 0.280
I: 0.500 0.500 0.000
I: 0.831 0.831 0.720
I: 0.833 0.833 0.172

***

[20]
Li2ReTe | PBE | relaxed

As for the total magnetic moment: 0.44 μB per formula unit. The energy relative to the lowest polymorph listed for this composition is 0.57 eV/f.u. The value obtained for the uncorrected formation energy is 113 kJ/mol of formula units.

Cell lengths 3.496, 4.297, 4.315 Å; angles 90.00, 90.00, 90.00 degrees
Fractional positions:
Li: 0.000 0.000 0.000
Li: 0.500 0.500 0.000
Re: 0.000 0.500 0.500
Te: 0.500 0.000 0.500